Mg2AlRh after structural relaxation, computed with GGA-PBEsol.

Computed properties:
**Size of the total moment**: 0.000 μB/cell
**ΔE_f**: -0.3696 eV/atom
**Total DFT energy (no corrections)**: -17.143 eV per cell
**Space-group type**: I-4m2 (119)

a b c (Å): 4.0508 4.0508 4.8151
angles (deg): 114.87 114.87 90.00
Element x y z (fractional)
1 Al 0.2500 0.7500 0.5000
2 Mg 0.7500 0.2500 0.5000
3 Rh 0.5000 0.5000 0.0000
4 Mg 0.0000 0.0000 0.0000


KAlS2O8 after structural relaxation, computed with GGA-PBEsol.

Computed properties:
**Size of the total moment**: 0.001 μB/cell
**Total DFT energy (no corrections)**: -78.946 eV per cell
**Space-group type**: P-3m1 (164)

a b c (Å): 4.9823 4.9823 7.6121
angles (deg): 90.00 90.00 120.00
Element x y z (fractional)
1 O 0.3333 0.6667 0.0946
2 O 0.3440 0.1720 0.6493
3 O 0.1720 0.3440 0.3507
4 O 0.8281 0.6560 0.6493
5 O 0.8280 0.1719 0.6493
6 K 0.0000 0.0000 0.0000
7 S 0.3333 0.6667 0.2850
8 O 0.6667 0.3333 0.9054
9 O 0.1719 0.8280 0.3507
10 O 0.6560 0.8281 0.3507
11 S 0.6667 0.3333 0.7150
12 Al 0.0000 0.0000 0.5000


Cs2NaLaBr6 after structural relaxation, computed with GGA-PBEsol.

Computed properties:
**Size of the total moment**: 0.000 μB/cell
**Total DFT energy (no corrections)**: -38.181 eV per cell
**Space-group type**: Fm-3m (225)

a b c (Å): 8.1086 8.1086 8.1086
angles (deg): 60.00 60.00 60.00
Element x y z (fractional)
1 Br 0.7488 0.2512 0.2512
2 Br 0.7488 0.7488 0.2512
3 Br 0.7488 0.2512 0.7488
4 Na 0.5000 0.5000 0.5000
5 Br 0.2512 0.7488 0.2512
6 Cs 0.2500 0.2500 0.2500
7 La 0.0000 0.0000 0.0000
8 Br 0.2512 0.7488 0.7488
9 Br 0.2512 0.2512 0.7488
10 Cs 0.7500 0.7500 0.7500


MgCdAg2 after structural relaxation, computed with GGA-PBEsol.

Computed properties:
**Size of the total moment**: 0.000 μB/cell
**ΔE_f**: -0.1301 eV/atom
**Total DFT energy (no corrections)**: -10.057 eV per cell
**Space-group type**: Pmm2 (25)

a b c (Å): 3.1329 3.7881 6.0924
angles (deg): 90.00 90.00 90.00
Element x y z (fractional)
1 Ag 0.5000 0.5000 0.2446
2 Mg 0.5000 0.5000 0.7687
3 Cd 0.0000 0.0000 0.4880
4 Ag 0.0000 0.0000 0.9987


BaHfMn2 after structural relaxation, computed with GGA-PBEsol.

Computed properties:
**Size of the total moment**: 5.693 μB/cell
**ΔE_f**: 0.8896 eV/atom
**Total DFT energy (no corrections)**: -28.616 eV per cell
**Space-group type**: Fm-3m (225)

a b c (Å): 4.9369 4.9369 4.9369
angles (deg): 60.00 60.00 60.00
Element x y z (fractional)
1 Hf 0.5000 0.5000 0.5000
2 Mn 0.2500 0.2500 0.2500
3 Mn 0.7500 0.7500 0.7500
4 Ba 0.0000 0.0000 0.0000


Na2TePd after structural relaxation, computed with GGA-PBEsol.

Computed properties:
**Size of the total moment**: 0.000 μB/cell
**Total DFT energy (no corrections)**: -26.135 eV per cell
**Space-group type**: I-42d (122)

a b c (Å): 4.1607 4.1607 10.6896
angles (deg): 101.22 101.22 90.00
Element x y z (fractional)
1 Pd 0.7500 0.2500 0.5000
2 Na 0.1250 0.1369 0.7500
3 Pd 0.5000 0.5000 0.0000
4 Te 0.2500 0.7500 0.5000
5 Na 0.3869 0.8750 0.2500
6 Na 0.6250 0.6131 0.7500
7 Na 0.8631 0.3750 0.2500
8 Te 0.0000 0.0000 0.0000


| no. | volume (Å³ per atom) | D(E_F) (states/eV per atom) |
| --- | --- | --- |
| 1 | 15.88 | 0.36 |
| 2 | 13.64 | 0.00 |
| 3 | 37.70 | 0.00 |
| 4 | 18.08 | 0.34 |
| 5 | 21.27 | 0.87 |
| 6 | 22.24 | 0.30 |